! TlSb3Au3 GGA-PBE optimized geometry; values from VASP
! * polymorph energy (0 for the lowest one): 67 meV/atom
! * DOS(E_F): 8.87 states/eV/cell
! * ΔE_f (raw): 55 meV per atom
! * SG: Pm-3n
&SYSTEM
  ibrav = 0, nat = 14, ntyp = 3
/
ATOMIC_SPECIES
Sb 121.76 Sb.upf
Tl 204.38 Tl.upf
Au 196.97 Au.upf
CELL_PARAMETERS angstrom
-6.603 -3.284 -2.017
1.595 -5.972 4.500
-3.508 3.466 5.843
ATOMIC_POSITIONS crystal
Sb 0.000 0.250 0.500
Sb 0.000 0.750 0.500
Sb 0.500 0.000 0.750
Sb 0.750 0.500 0.000
Sb 0.500 0.000 0.250
Sb 0.250 0.500 0.000
Tl 0.500 0.500 0.500
Tl 0.000 0.000 0.000
Au 0.250 0.000 0.500
Au 0.000 0.500 0.250
Au 0.500 0.750 0.000
Au 0.750 0.000 0.500
Au 0.000 0.500 0.750
Au 0.500 0.250 0.000